(1)
Here is a relaxed Ag12Br3Cl5 crystal from the Alexandria database. Energies are from PBE.

```
Ag12Br3Cl5
1.0
-8.1190 8.1190 8.1190
8.1190 -8.1190 8.1190
8.1190 8.1190 -8.1190
Ag Br Cl
48 12 20
Direct
0.0682 0.2250 0.1487
0.0682 0.3432 0.9195
0.0763 0.7250 0.6568
0.0763 0.8513 0.4195
0.0805 0.6487 0.4237
0.0805 0.9318 0.6568
0.1487 0.0682 0.2250
0.1487 0.5805 0.9237
0.1568 0.2250 0.5763
0.1568 0.4318 0.5805
0.2250 0.1487 0.0682
0.2250 0.5763 0.1568
0.2750 0.3432 0.9237
0.2750 0.4318 0.3513
0.3432 0.9195 0.0682
0.3432 0.9237 0.2750
0.3513 0.2750 0.4318
0.3513 0.5763 0.9195
0.4195 0.0763 0.8513
0.4195 0.8432 0.5682
0.4237 0.0805 0.6487
0.4237 0.8432 0.7750
0.4318 0.3513 0.2750
0.4318 0.5805 0.1568
0.5682 0.4195 0.8432
0.5682 0.6487 0.7250
0.5763 0.1568 0.2250
0.5763 0.9195 0.3513
0.5805 0.1568 0.4318
0.5805 0.9237 0.1487
0.6487 0.4237 0.0805
0.6487 0.7250 0.5682
0.6568 0.0763 0.7250
0.6568 0.0805 0.9318
0.7250 0.5682 0.6487
0.7250 0.6568 0.0763
0.7750 0.4237 0.8432
0.7750 0.8513 0.9318
0.8432 0.5682 0.4195
0.8432 0.7750 0.4237
0.8513 0.4195 0.0763
0.8513 0.9318 0.7750
0.9195 0.0682 0.3432
0.9195 0.3513 0.5763
0.9237 0.1487 0.5805
0.9237 0.2750 0.3432
0.9318 0.6568 0.0805
0.9318 0.7750 0.8513
0.1250 0.2500 0.3750
0.1250 0.3750 0.7500
0.2500 0.3750 0.1250
0.2500 0.8750 0.6250
0.3750 0.1250 0.2500
0.3750 0.7500 0.1250
0.6250 0.2500 0.8750
0.6250 0.8750 0.7500
0.7500 0.1250 0.3750
0.7500 0.6250 0.8750
0.8750 0.6250 0.2500
0.8750 0.7500 0.6250
0.0000 0.0000 0.0000
0.0000 0.0000 0.5000
0.0000 0.5000 0.0000
0.0000 0.5000 0.5000
0.1250 0.7500 0.8750
0.1250 0.8750 0.2500
0.2500 0.1250 0.8750
0.2500 0.6250 0.3750
0.3750 0.2500 0.6250
0.3750 0.6250 0.7500
0.5000 0.0000 0.0000
0.5000 0.0000 0.5000
0.5000 0.5000 0.0000
0.5000 0.5000 0.5000
0.6250 0.3750 0.2500
0.6250 0.7500 0.3750
0.7500 0.3750 0.6250
0.7500 0.8750 0.1250
0.8750 0.1250 0.7500
0.8750 0.2500 0.1250
```

Computed properties:
* symmetry: Ia-3d, No. 230



(2)
Here is a relaxed Ag5Br3Cl3 crystal from the Alexandria database. Energies are from PBE.

```
Ag5Br3Cl3
1.0
4.1867 0.0000 0.0000
0.0000 12.6640 0.0000
0.0000 0.0000 6.1797
Ag Br Cl
5 3 3
Direct
0.0000 0.0000 0.0000
0.0000 0.3553 0.9701
0.0000 0.6447 0.9701
0.5000 0.1724 0.4973
0.5000 0.8276 0.4973
0.0000 0.5000 0.6774
0.5000 0.3333 0.2266
0.5000 0.6667 0.2266
0.0000 0.1632 0.7452
0.0000 0.8368 0.7452
0.5000 0.0000 0.2524
```

Computed properties:
* symmetry: Pmm2, No. 25



(3)
Here is a relaxed Ag3Br5Cl crystal from the Alexandria database. Energies are from PBE.

```
Ag3Br5Cl
1.0
6.2227 -5.0370 0.0000
6.2227 5.0370 0.0000
-5.4391 0.0000 9.0290
Ag Br Cl
6 10 2
Direct
0.0000 0.0000 0.0000
0.0000 0.0000 0.5000
0.3320 0.3320 0.3321
0.3371 0.3371 0.8386
0.6629 0.6629 0.1614
0.6680 0.6680 0.6679
0.0129 0.6622 0.3386
0.2306 0.2306 0.0440
0.3152 0.6848 0.0000
0.3378 0.9871 0.6614
0.4411 0.4411 0.6216
0.5589 0.5589 0.3784
0.6622 0.0129 0.3386
0.6848 0.3152 0.0000
0.7694 0.7694 0.9560
0.9871 0.3378 0.6614
0.1128 0.1128 0.2769
0.8872 0.8872 0.7231
```

Computed properties:
* relative energy among the computed polymorphs: 0.0 kJ per mole of atoms
* symmetry: C2/m, No. 12



(4)
Here is a relaxed AgBr2Cl crystal from the Alexandria database. Energies are from PBE.

```
AgBr2Cl
1.0
0.0000 3.6617 3.6617
3.6617 0.0000 3.6617
3.6617 3.6617 0.0000
Ag Br Cl
1 2 1
Direct
0.0000 0.0000 0.0000
0.2500 0.2500 0.2500
0.5000 0.5000 0.5000
0.7500 0.7500 0.7500
```

Computed properties:
* relative energy among the computed polymorphs: 49.9 kJ per mole of atoms
* symmetry: F-43m, No. 216



(5)
Here is a relaxed Ag5Br3Cl12 crystal from the Alexandria database. Energies are from PBE.

```
Ag5Br3Cl12
1.0
-8.3790 8.3790 8.3790
8.3790 -8.3790 8.3790
8.3790 8.3790 -8.3790
Ag Br Cl
20 12 48
Direct
0.0000 0.0000 0.0000
0.0000 0.0000 0.5000
0.0000 0.5000 0.0000
0.0000 0.5000 0.5000
0.1250 0.7500 0.8750
0.1250 0.8750 0.2500
0.2500 0.1250 0.8750
0.2500 0.6250 0.3750
0.3750 0.2500 0.6250
0.3750 0.6250 0.7500
0.5000 0.0000 0.0000
0.5000 0.0000 0.5000
0.5000 0.5000 0.0000
0.5000 0.5000 0.5000
0.6250 0.3750 0.2500
0.6250 0.7500 0.3750
0.7500 0.3750 0.6250
0.7500 0.8750 0.1250
0.8750 0.1250 0.7500
0.8750 0.2500 0.1250
0.1250 0.2500 0.3750
0.1250 0.3750 0.7500
0.2500 0.3750 0.1250
0.2500 0.8750 0.6250
0.3750 0.1250 0.2500
0.3750 0.7500 0.1250
0.6250 0.2500 0.8750
0.6250 0.8750 0.7500
0.7500 0.1250 0.3750
0.7500 0.6250 0.8750
0.8750 0.6250 0.2500
0.8750 0.7500 0.6250
0.0101 0.1749 0.1425
0.0101 0.3351 0.8675
0.0324 0.6749 0.6649
0.0324 0.8575 0.3675
0.1325 0.6425 0.4676
0.1325 0.9899 0.6649
0.1425 0.0101 0.1749
0.1425 0.6325 0.9676
0.1649 0.1749 0.5324
0.1649 0.4899 0.6325
0.1749 0.1425 0.0101
0.1749 0.5324 0.1649
0.3251 0.3351 0.9676
0.3251 0.4899 0.3575
0.3351 0.8675 0.0101
0.3351 0.9676 0.3251
0.3575 0.3251 0.4899
0.3575 0.5324 0.8675
0.3675 0.0324 0.8575
0.3675 0.8351 0.5101
0.4676 0.1325 0.6425
0.4676 0.8351 0.8251
0.4899 0.3575 0.3251
0.4899 0.6325 0.1649
0.5101 0.3675 0.8351
0.5101 0.6425 0.6749
0.5324 0.1649 0.1749
0.5324 0.8675 0.3575
0.6325 0.1649 0.4899
0.6325 0.9676 0.1425
0.6425 0.4676 0.1325
0.6425 0.6749 0.5101
0.6649 0.0324 0.6749
0.6649 0.1325 0.9899
0.6749 0.5101 0.6425
0.6749 0.6649 0.0324
0.8251 0.4676 0.8351
0.8251 0.8575 0.9899
0.8351 0.5101 0.3675
0.8351 0.8251 0.4676
0.8575 0.3675 0.0324
0.8575 0.9899 0.8251
0.8675 0.0101 0.3351
0.8675 0.3575 0.5324
0.9676 0.1425 0.6325
0.9676 0.3251 0.3351
0.9899 0.6649 0.1325
0.9899 0.8251 0.8575
```

Computed properties:
* symmetry: Ia-3d, No. 230



(6)
Here is a relaxed AgBrCl2 crystal from the Alexandria database. Energies are from PBE.

```
AgBrCl2
1.0
0.0000 3.5912 3.5912
3.5912 0.0000 3.5912
3.5912 3.5912 0.0000
Ag Br Cl
1 1 2
Direct
0.0000 0.0000 0.0000
0.5000 0.5000 0.5000
0.2500 0.2500 0.2500
0.7500 0.7500 0.7500
```

Computed properties:
* relative energy among the computed polymorphs: 51.5 kJ per mole of atoms
* symmetry: Fm-3m, No. 225



(7)
Here is a relaxed AgBrCl2 crystal from the Alexandria database. Energies are from PBE.

```
AgBrCl2
1.0
7.8322 -1.9186 0.0000
7.8322 1.9186 0.0000
-0.5998 0.0000 3.7816
Ag Br Cl
1 1 2
Direct
0.0000 0.0000 0.0000
0.2491 0.2491 0.7469
0.4996 0.4996 0.4993
0.7496 0.7496 0.2472
```

Computed properties:
* relative energy among the computed polymorphs: 18.5 kJ per mole of atoms
* symmetry: Cm, No. 8



(8)
Here is a relaxed AgBr2Cl crystal from the Alexandria database. Energies are from PBE.

```
AgBr2Cl
1.0
2.7595 0.0000 0.0000
0.0000 3.7930 0.0000
0.0000 0.0000 11.1605
Ag Br Cl
1 2 1
Direct
0.0000 0.0000 0.0000
0.0000 0.0000 0.4808
0.5000 0.5000 0.8214
0.5000 0.5000 0.1511
```

Computed properties:
* relative energy among the computed polymorphs: 20.4 kJ per mole of atoms
* symmetry: Pmm2, No. 25



(9)
Here is a relaxed AgBr2Cl crystal from the Alexandria database. Energies are from PBE.

```
AgBr2Cl
1.0
1.9812 1.1438 8.0498
-1.9812 1.1438 8.0498
0.0000 -2.2876 8.0498
Ag Br Cl
1 2 1
Direct
0.0000 0.0000 0.0000
0.2670 0.2670 0.2670
0.5078 0.5078 0.5078
0.7210 0.7210 0.7210
```

Computed properties:
* relative energy among the computed polymorphs: 22.4 kJ per mole of atoms
* symmetry: R3m, No. 160



(10)
Here is a relaxed AgBrCl2 crystal from the Alexandria database. Energies are from PBE.

```
AgBrCl2
1.0
5.0449 -3.4155 0.0000
5.0449 3.4155 0.0000
-5.0435 0.0000 6.5838
Ag Br Cl
2 2 4
Direct
0.0023 0.9977 0.7500
0.9977 0.0023 0.2500
0.5004 0.4996 0.2500
0.4996 0.5004 0.7500
0.2105 0.2102 0.1271
0.2102 0.2105 0.6271
0.7898 0.7895 0.3729
0.7895 0.7898 0.8729
```

Computed properties:
* relative energy among the computed polymorphs: 0.9 kJ per mole of atoms
* symmetry: C2/c, No. 15



(11)
Here is a relaxed Ag3BrCl2 crystal from the Alexandria database. Energies are from PBE.

```
Ag3BrCl2
1.0
4.3385 0.0000 0.0000
0.0000 13.1519 0.0000
0.0000 0.0000 5.7301
Ag Br Cl
6 2 4
Direct
0.2500 0.1308 0.0510
0.2500 0.3692 0.0510
0.2500 0.7500 0.6481
0.7500 0.2500 0.3519
0.7500 0.6308 0.9490
0.7500 0.8692 0.9490
0.2500 0.2500 0.6776
0.7500 0.7500 0.3224
0.2500 0.5634 0.7586
0.2500 0.9366 0.7586
0.7500 0.0634 0.2414
0.7500 0.4366 0.2414
```

Computed properties:
* relative energy among the computed polymorphs: 2.2 kJ per mole of atoms
* symmetry: Pmmn, No. 59



(12)
Here is a relaxed AgBr2Cl8 crystal from the Alexandria database. Energies are from PBE.

```
AgBr2Cl8
1.0
6.1843 -4.1861 0.0000
6.1843 4.1861 0.0000
-2.4037 0.0000 7.3556
Ag Br Cl
1 2 8
Direct
0.0000 0.0000 0.0000
0.3340 0.3340 0.4106
0.6660 0.6660 0.5894
0.0560 0.6643 0.9331
0.1987 0.1987 0.5563
0.3357 0.9440 0.0669
0.4721 0.4721 0.2637
0.5279 0.5279 0.7363
0.6643 0.0560 0.9331
0.8013 0.8013 0.4437
0.9440 0.3357 0.0669
```

Computed properties:
* symmetry: C2/m, No. 12



(13)
Here is a relaxed AgBrCl2 crystal from the Alexandria database. Energies are from PBE.

```
AgBrCl2
1.0
3.7493 -3.8330 0.0000
3.7493 3.8330 0.0000
-3.6543 0.0000 3.8405
Ag Br Cl
1 1 2
Direct
0.0000 0.0000 0.0000
0.5000 0.5000 0.0000
0.0000 0.5000 0.5000
0.5000 0.0000 0.5000
```

Computed properties:
* relative energy among the computed polymorphs: 18.1 kJ per mole of atoms
* symmetry: C2/m, No. 12



(14)
Here is a relaxed Ag3Br2Cl crystal from the Alexandria database. Energies are from PBE.

```
Ag3Br2Cl
1.0
6.0088 -4.0246 0.0000
6.0088 4.0246 0.0000
0.0000 0.0000 6.2251
Ag Br Cl
6 4 2
Direct
0.0634 0.9366 0.5000
0.2892 0.3820 0.0296
0.3820 0.2892 0.5296
0.6180 0.7108 0.0296
0.7108 0.6180 0.5296
0.9366 0.0634 0.0000
0.0206 0.3109 0.3285
0.3109 0.0206 0.8285
0.6891 0.9794 0.3285
0.9794 0.6891 0.8285
0.3687 0.6313 0.3391
0.6313 0.3687 0.8391
```

Computed properties:
* relative energy among the computed polymorphs: 2.6 kJ per mole of atoms
* symmetry: Cmc2_1, No. 36



(15)
Here is a relaxed Ag2Br6Cl crystal from the Alexandria database. Energies are from PBE.

```
Ag2Br6Cl
1.0
4.3520 0.0000 0.0000
2.1470 6.8037 0.0000
2.0798 -0.1515 21.8589
Ag Br Cl
4 12 2
Direct
0.0991 0.4604 0.2163
0.2231 0.9635 0.7175
0.7769 0.0365 0.2825
0.9009 0.5396 0.7837
0.0030 0.1557 0.9646
0.0393 0.0789 0.6023
0.0584 0.2738 0.3249
0.1214 0.3451 0.5358
0.2786 0.5759 0.1012
0.3461 0.7775 0.8263
0.6539 0.2225 0.1737
0.7214 0.4241 0.8988
0.8786 0.6549 0.4642
0.9416 0.7262 0.6751
0.9607 0.9211 0.3977
0.9970 0.8443 0.0354
0.3610 0.2528 0.7507
0.6390 0.7472 0.2493
```

Computed properties:
* relative energy among the computed polymorphs: 0.0 kJ per mole of atoms
* symmetry: P-1, No. 2



(16)
Here is a relaxed Ag3Br3Cl2 crystal from the Alexandria database. Energies are from PBE.

```
Ag3Br3Cl2
1.0
6.9961 -2.5661 0.0000
6.9961 2.5661 0.0000
-4.0809 0.0000 13.9979
Ag Br Cl
6 6 4
Direct
0.0000 0.0000 0.0000
0.0006 0.0006 0.4175
0.0346 0.0346 0.7161
0.6726 0.6726 0.1523
0.7077 0.7077 0.8709
0.7222 0.7222 0.4658
0.1101 0.1101 0.1759
0.1933 0.1933 0.5079
0.5952 0.5952 0.6961
0.8069 0.8069 0.0473
0.8138 0.8138 0.3127
0.9000 0.9000 0.8239
0.1834 0.1834 0.8673
0.5218 0.5218 0.0020
0.5317 0.5317 0.3967
0.9021 0.9021 0.5631
```

Computed properties:
* symmetry: Cm, No. 8



For reference, formation energy (no corrections) by record: -40; -341; -212; 329; -27; 308; -33; 24; 44; -216; -383; 59; -38; -344; -132; -285 meV/atom.